P.
PBE HoPu2Ni, optimized geometry; size of the total moment = 11.62 μB per cell
1.0
3.458 0.000 0.000
0.000 3.458 0.000
0.000 0.000 8.016
Ni Pu Ho
1 2 1
Direct
0.500 0.500 0.000
0.000 0.000 0.808
0.000 0.000 0.192
0.500 0.500 0.500

---

Q.
PBE HoPu2Ni, optimized geometry; size of the total moment = 11.28 μB per cell
1.0
3.426 0.000 0.000
1.713 2.967 0.000
1.713 0.989 10.047
Ni Pu Ho
1 2 1
Direct
0.500 0.500 0.500
0.105 0.105 0.686
0.895 0.895 0.314
0.000 0.000 0.000

---

It is P that is the most stable of them.

---

P.
PBE Ho8Ni2Rh, optimized geometry; size of the total moment = 0.00 μB per cell
1.0
-3.062 -3.782 1.085
5.121 -3.524 2.168
-1.324 6.149 6.242
Rh Ni Ho
1 2 8
Direct
0.500 0.000 0.000
0.189 0.723 0.377
0.811 0.277 0.623
0.329 0.021 0.659
0.798 0.672 0.597
0.037 0.789 0.073
0.963 0.211 0.927
0.202 0.328 0.403
0.591 0.448 0.182
0.671 0.979 0.341
0.409 0.552 0.818

---

Q.
PBE Ho8Ni2Rh, optimized geometry; size of the total moment = 0.00 μB per cell
1.0
-4.967 1.853 -2.446
-2.685 -2.838 6.359
3.539 6.521 0.813
Ho Rh Ni
8 1 2
Direct
0.581 0.341 0.083
0.581 0.083 0.341
0.990 0.787 0.218
0.990 0.218 0.787
0.387 0.921 0.664
0.387 0.664 0.921
0.170 0.366 0.366
0.814 0.641 0.641
0.116 0.004 0.004
0.492 0.308 0.699
0.492 0.699 0.308

---

It is P that is the most stable of them.